{
  "formula": "BaScTeO6",
  "functional": "PBE",
  "state": "relaxed",
  "lattice": [[5.515, 0.000, 0.000], [-2.757, 4.776, 0.000], [0.000, 0.000, 11.313]],
  "species": ["Ba", "Ba", "Sc", "Sc", "Te", "Te", "O", "O", "O", "O", "O", "O", "O", "O", "O", "O", "O", "O"],
  "fractional_positions": [[0.000, 0.000, 0.000], [0.000, 0.000, 0.500], [0.333, 0.667, 0.250], [0.667, 0.333, 0.750], [0.333, 0.667, 0.750], [0.667, 0.333, 0.250], [0.024, 0.397, 0.653], [0.024, 0.627, 0.847], [0.373, 0.397, 0.847], [0.373, 0.976, 0.653], [0.397, 0.024, 0.153], [0.397, 0.373, 0.347], [0.603, 0.627, 0.653], [0.603, 0.976, 0.847], [0.627, 0.024, 0.347], [0.627, 0.603, 0.153], [0.976, 0.373, 0.153], [0.976, 0.603, 0.347]],
  "dft_energy_ev_per_atom": -6.645,
  "formation_energy_uncorrected_ev_per_atom": -2.073,
  "dos_at_fermi_per_ev_atom": 0.737
}

{
  "formula": "Ba3ScTi2O9",
  "functional": "PBE",
  "state": "relaxed",
  "lattice": [[5.794, 0.000, 0.000], [-2.897, 5.018, 0.000], [0.000, 0.000, 7.107]],
  "species": ["Ba", "Ba", "Ba", "Sc", "Ti", "Ti", "O", "O", "O", "O", "O", "O", "O", "O", "O"],
  "fractional_positions": [[0.000, 0.000, 0.000], [0.333, 0.667, 0.671], [0.667, 0.333, 0.329], [0.000, 0.000, 0.500], [0.333, 0.667, 0.173], [0.667, 0.333, 0.827], [0.000, 0.500, 0.000], [0.173, 0.345, 0.325], [0.173, 0.827, 0.325], [0.345, 0.173, 0.675], [0.500, 0.000, 0.000], [0.500, 0.500, 0.000], [0.655, 0.827, 0.325], [0.827, 0.173, 0.675], [0.827, 0.655, 0.675]],
  "dft_energy_ev_per_atom": -7.829,
  "formation_energy_uncorrected_ev_per_atom": -2.995,
  "dos_at_fermi_per_ev_atom": 0.596
}

{
  "formula": "Ba3ScTi2O8",
  "functional": "PBE",
  "state": "relaxed",
  "lattice": [[5.908, 0.000, 0.000], [-2.954, 5.117, 0.000], [0.000, 0.000, 7.600]],
  "species": ["Ba", "Ba", "Ba", "Sc", "Ti", "Ti", "O", "O", "O", "O", "O", "O", "O", "O"],
  "fractional_positions": [[0.000, 0.000, 0.000], [0.333, 0.667, 0.655], [0.667, 0.333, 0.345], [0.000, 0.000, 0.500], [0.333, 0.667, 0.221], [0.667, 0.333, 0.779], [0.167, 0.333, 0.325], [0.167, 0.833, 0.325], [0.333, 0.167, 0.675], [0.333, 0.667, 0.986], [0.667, 0.333, 0.014], [0.667, 0.833, 0.325], [0.833, 0.167, 0.675], [0.833, 0.667, 0.675]],
  "dft_energy_ev_per_atom": -7.823,
  "formation_energy_uncorrected_ev_per_atom": -2.998,
  "dos_at_fermi_per_ev_atom": 0.338
}

{
  "formula": "Ba2ScTlO",
  "functional": "PBE",
  "state": "relaxed",
  "lattice": [[6.051, 0.000, 0.000], [0.000, 6.051, 0.000], [0.000, 0.000, 4.129]],
  "species": ["Ba", "Ba", "Sc", "Tl", "O"],
  "fractional_positions": [[0.000, 0.500, 0.000], [0.500, 0.000, 0.000], [0.000, 0.000, 0.500], [0.500, 0.500, 0.500], [0.000, 0.000, 0.000]],
  "dft_energy_ev_per_atom": -4.696,
  "formation_energy_uncorrected_ev_per_atom": -1.196,
  "dos_at_fermi_per_ev_atom": 0.760
}

{
  "formula": "Ba3Sc2UO8",
  "functional": "PBE",
  "state": "relaxed",
  "lattice": [[6.189, 0.000, 0.000], [-3.095, 5.360, 0.000], [0.000, 0.000, 7.753]],
  "species": ["Ba", "Ba", "Ba", "Sc", "Sc", "U", "O", "O", "O", "O", "O", "O", "O", "O"],
  "fractional_positions": [[0.000, 0.000, 0.000], [0.333, 0.667, 0.652], [0.667, 0.333, 0.348], [0.333, 0.667, 0.207], [0.667, 0.333, 0.793], [0.000, 0.000, 0.500], [0.164, 0.328, 0.321], [0.164, 0.836, 0.321], [0.328, 0.164, 0.679], [0.333, 0.667, 0.962], [0.667, 0.333, 0.038], [0.672, 0.836, 0.321], [0.836, 0.164, 0.679], [0.836, 0.672, 0.679]],
  "dft_energy_ev_per_atom": -7.943,
  "formation_energy_uncorrected_ev_per_atom": -2.987,
  "dos_at_fermi_per_ev_atom": 0.475
}

{
  "formula": "BaSc2UO8",
  "functional": "PBE",
  "state": "relaxed",
  "lattice": [[3.471, -3.552, 0.000], [3.471, 3.552, 0.000], [0.000, 0.000, 7.467]],
  "species": ["Ba", "Sc", "Sc", "U", "O", "O", "O", "O", "O", "O", "O", "O"],
  "fractional_positions": [[0.000, 0.000, 0.000], [0.500, 0.500, 0.293], [0.500, 0.500, 0.707], [0.000, 0.000, 0.500], [0.198, 0.198, 0.297], [0.198, 0.198, 0.703], [0.309, 0.691, 0.500], [0.394, 0.606, 0.000], [0.606, 0.394, 0.000], [0.691, 0.309, 0.500], [0.802, 0.802, 0.297], [0.802, 0.802, 0.703]],
  "dft_energy_ev_per_atom": -8.384,
  "formation_energy_uncorrected_ev_per_atom": -2.922,
  "dos_at_fermi_per_ev_atom": 0.000
}

{
  "formula": "Ba4ScU3O12",
  "functional": "PBE",
  "state": "relaxed",
  "lattice": [[-4.380, 4.380, 4.380], [4.380, -4.380, 4.380], [4.380, 4.380, -4.380]],
  "species": ["Ba", "Ba", "Ba", "Ba", "Sc", "U", "U", "U", "O", "O", "O", "O", "O", "O", "O", "O", "O", "O", "O", "O"],
  "fractional_positions": [[0.000, 0.000, 0.500], [0.000, 0.500, 0.000], [0.500, 0.000, 0.000], [0.500, 0.500, 0.500], [0.000, 0.000, 0.000], [0.000, 0.500, 0.500], [0.500, 0.000, 0.500], [0.500, 0.500, 0.000], [0.000, 0.249, 0.249], [0.000, 0.751, 0.751], [0.249, 0.000, 0.249], [0.249, 0.249, 0.000], [0.250, 0.500, 0.750], [0.250, 0.750, 0.500], [0.500, 0.250, 0.750], [0.500, 0.750, 0.250], [0.750, 0.250, 0.500], [0.750, 0.500, 0.250], [0.751, 0.000, 0.751], [0.751, 0.751, 0.000]],
  "dft_energy_ev_per_atom": -8.498,
  "formation_energy_uncorrected_ev_per_atom": -3.129,
  "dos_at_fermi_per_ev_atom": 0.583
}